<A>
KTiRh2 | PBE | relaxed

Structure (extended XYZ):
```
4
Lattice="0.975 -2.985 3.390 -0.576 1.246 4.412 -3.416 -1.856 2.497" Properties=species:S:1:pos:R:3 pbc="T T T"
K 0.000 0.000 0.000
Rh -0.754 -0.899 2.575
Rh -2.263 -2.697 7.724
Ti -1.509 -1.798 5.149
```

Calculated density   6970 kg/m³

***

<B>
KTiRh2 | PBE | relaxed

Structure (extended XYZ):
```
8
Lattice="5.345 0.000 0.000 0.000 5.345 0.000 2.673 2.673 7.587" Properties=species:S:1:pos:R:3 pbc="T T T"
K 2.673 2.673 0.000
K 2.673 5.345 3.793
Rh 5.048 1.336 1.897
Rh 5.642 4.009 1.897
Rh 4.009 2.970 5.690
Rh 6.682 2.376 5.690
Ti 0.000 0.000 0.000
Ti 5.345 2.673 3.793
```

Calculated density   4485 kg/m³

***

Computed stability ranking, most favorable first: <A>, <B>

***

<A>
K2TiRh | PBE | relaxed

Structure (extended XYZ):
```
8
Lattice="12.581 0.000 0.000 0.000 12.581 0.000 6.290 6.290 2.251" Properties=species:S:1:pos:R:3 pbc="T T T"
K 11.501 3.145 0.563
K 13.661 9.436 0.563
K 9.436 7.371 1.688
K 15.726 5.210 1.688
Rh 0.000 0.000 0.000
Rh 12.581 6.290 1.126
Ti 6.290 6.290 0.000
Ti 6.290 12.581 1.126
```

Calculated density   2134 kg/m³

***

<B>
K2TiRh | PBE | relaxed

Structure (extended XYZ):
```
4
Lattice="0.009 -2.995 4.534 -0.012 2.428 4.861 -4.438 -0.206 3.129" Properties=species:S:1:pos:R:3 pbc="T T T"
K -1.110 -0.193 3.131
K -3.331 -0.579 9.393
Rh -2.220 -0.386 6.262
Ti 0.000 0.000 0.000
```

Calculated density   3351 kg/m³

***

Computed stability ranking, most favorable first: <A>, <B>

***

<A>
KTlRh2 | PBE | relaxed

Structure (extended XYZ):
```
4
Lattice="-1.153 -2.739 -0.029 3.499 -1.481 0.793 -1.557 0.572 7.938" Properties=species:S:1:pos:R:3 pbc="T T T"
K -0.045 -1.663 6.591
Rh -0.137 0.050 0.697
Rh 0.869 -1.998 1.932
Tl -0.677 0.249 3.450
```

Calculated density   7975 kg/m³

***

<B>
KTlRh2 | PBE | relaxed

Structure (extended XYZ):
```
4
Lattice="4.732 0.000 0.000 0.000 2.981 0.021 0.000 0.973 6.561" Properties=species:S:1:pos:R:3 pbc="T T T"
K 2.366 2.966 4.936
Rh 0.000 0.197 0.532
Rh 0.000 1.780 2.758
Tl 2.366 0.989 1.645
```

Calculated density   8068 kg/m³

***

<C>
KTlRh2 | PBE | relaxed

Structure (extended XYZ):
```
4
Lattice="-2.621 4.834 8.625 -5.237 3.186 8.188 -2.803 1.891 9.653" Properties=species:S:1:pos:R:3 pbc="T T T"
K -7.920 7.364 19.663
Rh -10.516 9.776 26.106
Rh -2.735 2.543 6.789
Tl -5.481 5.095 13.606
```

Calculated density   8779 kg/m³

***

<D>
KTlRh2 | PBE | relaxed

Structure (extended XYZ):
```
4
Lattice="-1.329 -1.547 -2.389 -2.806 -2.876 3.423 -3.519 3.256 -0.150" Properties=species:S:1:pos:R:3 pbc="T T T"
K -3.163 0.190 1.637
Rh 0.000 0.000 0.000
Rh -2.068 -2.211 0.517
Tl -2.424 0.855 -1.269
```

Calculated density   9382 kg/m³

***

Computed stability ranking, most favorable first: <A>, <B>, <C>, <D>

***

<A>
KTlRh2 | PBE | relaxed

Structure (extended XYZ):
```
8
Lattice="-2.930 -1.021 -3.636 2.183 -4.213 -0.577 -6.556 -6.657 4.011" Properties=species:S:1:pos:R:3 pbc="T T T"
Tl 0.000 0.000 0.000
Tl -4.930 -5.148 -0.865
Rh -3.679 -2.997 -1.940
Rh -3.089 -5.278 -2.849
Rh -5.556 -6.263 1.524
Rh -7.394 -6.053 -0.196
K -0.373 -2.617 -2.106
K -2.373 -6.743 0.664
```

Calculated density   6811 kg/m³

***

<B>
KTlRh2 | PBE | relaxed

Structure (extended XYZ):
```
4
Lattice="-0.911 -0.606 4.052 0.860 -2.802 -0.226 7.607 0.708 1.817" Properties=species:S:1:pos:R:3 pbc="T T T"
K 6.066 -1.666 3.289
Rh 0.799 0.065 0.189
Rh 1.328 -1.475 2.252
Tl 3.597 -0.672 0.708
```

Calculated density   7827 kg/m³

***

Computed stability ranking, most favorable first: <B>, <A>

***

<A>
K2TlRh | PBE | relaxed

Structure (extended XYZ):
```
4
Lattice="11.634 -0.019 -0.011 11.137 3.365 -0.011 11.137 1.636 2.940" Properties=species:S:1:pos:R:3 pbc="T T T"
K 33.489 4.921 2.882
K 17.372 2.553 1.495
Rh 8.477 1.246 0.729
Tl 25.430 3.737 2.188
```

Calculated density   5510 kg/m³

***

<B>
K2TlRh | PBE | relaxed

Structure (extended XYZ):
```
4
Lattice="-6.219 1.284 -1.378 -1.689 -1.464 -6.102 2.391 -2.595 5.457" Properties=species:S:1:pos:R:3 pbc="T T T"
K -0.150 -0.003 -0.142
K -3.641 -0.695 0.405
Rh -3.612 -0.082 -3.417
Tl -2.066 -2.084 -2.609
```

Calculated density   4910 kg/m³

***

Computed stability ranking, most favorable first: <B>, <A>

***

<A>
K2TlRh | PBE | relaxed

Structure (extended XYZ):
```
4
Lattice="4.401 0.000 0.000 0.000 5.305 0.004 0.000 2.653 6.149" Properties=species:S:1:pos:R:3 pbc="T T T"
K 0.000 7.625 5.670
K 2.201 2.321 2.094
Rh 0.000 4.974 3.080
Tl 2.201 4.973 4.538
```

Calculated density   4460 kg/m³

***

<B>
K2TlRh | PBE | relaxed

Structure (extended XYZ):
```
4
Lattice="6.236 0.000 0.000 0.000 6.236 0.000 0.000 0.000 3.164" Properties=species:S:1:pos:R:3 pbc="T T T"
K 0.000 0.000 0.000
K 3.118 3.118 0.000
Rh 3.118 0.000 1.582
Tl 0.000 3.118 1.582
```

Calculated density   5201 kg/m³

***

Computed stability ranking, most favorable first: <A>, <B>

***

<A>
K2TlRh | PBE | relaxed

Structure (extended XYZ):
```
8
Lattice="4.325 0.000 0.000 0.000 4.325 0.000 2.163 2.163 11.765" Properties=species:S:1:pos:R:3 pbc="T T T"
Tl 0.000 0.000 0.000
Tl 4.325 2.163 5.882
Rh 2.163 2.163 0.000
Rh 2.163 4.325 5.882
K 3.198 1.081 2.941
K 1.128 3.244 2.941
K 3.244 3.291 8.823
K 5.407 5.360 8.823
```

Calculated density   5816 kg/m³

***

<B>
K2TlRh | PBE | relaxed

Structure (extended XYZ):
```
4
Lattice="-5.947 -2.880 2.098 4.504 -3.839 -0.518 -0.590 -1.188 3.573" Properties=species:S:1:pos:R:3 pbc="T T T"
K 0.000 0.000 0.000
K -3.269 -2.034 2.836
Rh 1.957 -2.513 1.528
Tl -0.721 -3.359 0.790
```

Calculated density   5579 kg/m³

***

Computed stability ranking, most favorable first: <B>, <A>

***

<A>
K2TlRh | PBE | relaxed

Structure (extended XYZ):
```
4
Lattice="-1.208 -0.392 -3.595 2.647 -2.678 -0.598 -6.478 -7.061 2.947" Properties=species:S:1:pos:R:3 pbc="T T T"
K -5.973 -6.510 2.717
K -1.379 -3.822 -1.142
Rh -3.925 -4.278 1.785
Tl -3.480 -6.112 -0.186
```

Calculated density   4393 kg/m³

***

<B>
K2TlRh | PBE | relaxed

Structure (extended XYZ):
```
4
Lattice="3.256 -0.001 0.000 0.001 3.256 0.000 0.000 0.000 11.112" Properties=species:S:1:pos:R:3 pbc="T T T"
K 0.000 0.000 0.481
K 0.000 0.000 5.075
Rh 1.629 1.628 2.778
Tl 1.629 1.628 8.334
```

Calculated density   5432 kg/m³

***

<C>
K2TlRh | PBE | relaxed

Structure (extended XYZ):
```
4
Lattice="4.403 0.000 0.000 0.000 4.395 0.000 0.000 0.000 5.495" Properties=species:S:1:pos:R:3 pbc="T T T"
K 0.000 0.000 0.000
K 2.202 2.198 0.000
Rh 2.202 0.000 2.747
Tl 0.000 2.198 2.747
```

Calculated density   6020 kg/m³

***

<D>
K2TlRh | PBE | relaxed

Structure (extended XYZ):
```
4
Lattice="2.309 -1.360 4.884 -1.164 2.984 4.558 -3.134 -2.202 4.045" Properties=species:S:1:pos:R:3 pbc="T T T"
Tl -0.995 -0.289 6.744
Rh 0.000 0.000 0.000
K -0.497 -0.145 3.372
K -1.492 -0.434 10.115
```

Calculated density   5237 kg/m³

***

Computed stability ranking, most favorable first: <A>, <C>, <B>, <D>

***

<A>
K2TlRh | PBE | relaxed

Structure (extended XYZ):
```
4
Lattice="9.876 2.437 0.270 7.171 7.215 -0.270 -8.317 -5.191 2.726" Properties=species:S:1:pos:R:3 pbc="T T T"
K 15.294 8.659 0.000
K 10.277 5.819 0.000
Rh 5.041 1.036 1.498
Tl 3.689 3.425 1.228
```

Calculated density   4433 kg/m³

***

<B>
K2TlRh | PBE | relaxed

Structure (extended XYZ):
```
4
Lattice="-1.728 4.753 -1.725 -4.845 -2.069 -0.889 2.256 -0.440 4.823" Properties=species:S:1:pos:R:3 pbc="T T T"
K 0.000 0.000 0.000
K -2.938 -0.584 1.313
Rh -3.286 1.342 -1.307
Tl -1.379 2.827 0.896
```

Calculated density   5942 kg/m³

***

Computed stability ranking, most favorable first: <A>, <B>

***

<A>
K2TlRh | PBE | relaxed

Structure (extended XYZ):
```
4
Lattice="-1.615 -1.801 3.956 7.152 -0.404 2.736 5.006 4.250 3.978" Properties=species:S:1:pos:R:3 pbc="T T T"
K 1.351 0.424 0.744
K 4.729 1.500 2.613
Rh 2.232 0.061 3.656
Tl 8.311 1.984 7.014
```

Calculated density   3633 kg/m³

***

<B>
K2TlRh | PBE | relaxed

Structure (extended XYZ):
```
4
Lattice="4.662 -0.025 -0.021 2.349 4.027 -0.021 2.413 1.378 8.443" Properties=species:S:1:pos:R:3 pbc="T T T"
K 7.030 4.013 0.838
K 7.050 4.025 5.424
Rh 4.703 2.685 3.139
Tl 2.365 1.350 3.158
```

Calculated density   4019 kg/m³

***

<C>
K2TlRh | PBE | relaxed

Structure (extended XYZ):
```
4
Lattice="-1.160 -1.523 3.273 4.946 -0.491 1.525 -0.211 5.285 2.384" Properties=species:S:1:pos:R:3 pbc="T T T"
K -0.002 0.058 0.026
K -0.103 2.584 1.166
Rh 1.840 0.315 2.995
Tl 1.735 2.957 4.187
```

Calculated density   5597 kg/m³

***

Computed stability ranking, most favorable first: <B>, <A>, <C>

***

<A>
KTl4Rh | PBE | relaxed

Structure (extended XYZ):
```
12
Lattice="4.225 0.000 0.000 0.000 8.559 0.000 0.000 0.000 9.349" Properties=species:S:1:pos:R:3 pbc="T T T"
K 0.000 5.087 7.012
K 0.000 3.472 2.337
Tl 0.000 0.000 4.675
Tl 0.000 0.000 0.000
Tl 2.112 7.925 7.012
Tl 2.112 0.634 2.337
Tl 2.112 5.940 0.654
Tl 2.112 2.619 8.695
Tl 2.112 5.940 4.021
Tl 2.112 2.619 5.328
Rh 0.000 1.472 7.012
Rh 0.000 7.087 2.337
```

Calculated density   9427 kg/m³

***

<B>
KTl4Rh | PBE | relaxed

Structure (extended XYZ):
```
6
Lattice="-5.175 1.056 -0.153 0.014 -0.690 -5.239 -1.686 -8.109 1.063" Properties=species:S:1:pos:R:3 pbc="T T T"
K -2.588 0.528 -0.077
Tl -0.296 -1.784 -2.431
Tl -6.551 -5.959 -1.899
Tl -0.843 -4.055 0.531
Tl -3.424 -3.872 -2.165
Rh -0.836 -4.400 -2.088
```

Calculated density   6834 kg/m³

***

Computed stability ranking, most favorable first: <A>, <B>

***

<A>
K2Tl6Rh | PBE | relaxed

Structure (extended XYZ):
```
9
Lattice="-2.588 2.440 0.489 -0.928 0.934 -9.577 -5.282 -6.555 4.752" Properties=species:S:1:pos:R:3 pbc="T T T"
K -3.831 -4.059 -0.025
K -2.379 -1.563 -4.801
Tl -0.710 0.714 -7.325
Tl -4.040 -5.014 3.634
Tl -1.460 -1.322 -1.134
Tl -5.529 -2.613 -3.046
Tl -2.974 -0.865 1.756
Tl -1.589 1.517 -2.802
Rh -1.294 1.220 0.244
```

Calculated density   8044 kg/m³

***

<B>
K2Tl6Rh | PBE | relaxed

Structure (extended XYZ):
```
9
Lattice="6.099 -0.021 -0.012 0.044 7.238 0.009 0.044 3.614 6.272" Properties=species:S:1:pos:R:3 pbc="T T T"
K 4.894 7.211 4.173
K 1.293 3.620 2.095
Tl 1.848 5.445 5.217
Tl 1.864 9.005 5.211
Tl 1.848 7.236 2.122
Tl 4.339 5.386 1.051
Tl 4.324 1.827 1.057
Tl 4.339 3.595 4.146
Rh 0.000 0.000 0.000
```

Calculated density   8447 kg/m³

***

Computed stability ranking, most favorable first: <B>, <A>